# PBE YGa2Fe2Si, relaxed
data_YGa2Fe2Si
_chemical_formula_sum 'Y1 Ga2 Fe2 Si1'
_space_group_name_H-M_alt 'P 4/m m m'
_space_group_IT_number 123
_space_group_name_Hall '-P 4 2'
_cell_length_a 4.2599
_cell_length_b 4.2599
_cell_length_c 5.5249
_cell_angle_alpha 90.00
_cell_angle_beta 90.00
_cell_angle_gamma 90.00
loop_
_atom_site_label
_atom_site_fract_x
_atom_site_fract_y
_atom_site_fract_z
_atom_site_occupancy
Y1 0.0000 0.0000 0.0000 1
Ga1 0.5000 0.5000 0.2384 1
Fe1 0.0000 0.5000 0.5000 1
Si1 0.0000 0.0000 0.5000 1
# raw formation energy = -256 meV per atom
# D(E_F) = 5.764 states/eV/f.u.

# PBE Sm2Ga2Fe15, relaxed
data_Sm2Ga2Fe15
_chemical_formula_sum 'Sm6 Ga6 Fe45'
_space_group_name_H-M_alt 'R -3 m'
_space_group_IT_number 166
_space_group_name_Hall '-R 3 2"'
_cell_length_a 8.4564
_cell_length_b 8.4564
_cell_length_c 12.5260
_cell_angle_alpha 90.00
_cell_angle_beta 90.00
_cell_angle_gamma 120.00
loop_
_atom_site_label
_atom_site_fract_x
_atom_site_fract_y
_atom_site_fract_z
_atom_site_occupancy
Sm1 0.0000 0.0000 0.1534 1
Ga1 0.0000 0.0000 0.3981 1
Fe1 0.0000 0.3002 0.5000 1
Fe2 0.0000 0.5000 0.0000 1
Fe3 0.0007 0.5004 0.3405 1
# energy relative to the elements = -45.0 kJ/mol of formula units
# D(E_F) = 21.999 states/eV/f.u.

# PBE Sm4GaFe, relaxed
data_Sm4GaFe
_chemical_formula_sum 'Sm16 Ga4 Fe4'
_space_group_name_H-M_alt 'C 1 2/c 1'
_space_group_IT_number 15
_space_group_name_Hall '-C 2yc'
_cell_length_a 8.5835
_cell_length_b 12.5915
_cell_length_c 6.2003
_cell_angle_alpha 90.00
_cell_angle_beta 106.82
_cell_angle_gamma 90.00
loop_
_atom_site_label
_atom_site_fract_x
_atom_site_fract_y
_atom_site_fract_z
_atom_site_occupancy
Sm1 0.1085 0.1648 0.0399 1
Sm2 0.2064 0.4193 0.4079 1
Ga1 0.0000 0.3760 0.7500 1
Fe1 0.0000 0.0011 0.2500 1
# energy relative to the elements = -88.0 kJ/mol of formula units
# D(E_F) = 6.695 states/eV/f.u.

# PBE SmGaFe, relaxed
data_SmGaFe
_chemical_formula_sum 'Sm1 Ga1 Fe1'
_space_group_name_H-M_alt 'P -6 m 2'
_space_group_IT_number 187
_space_group_name_Hall 'P -6 2'
_cell_length_a 4.2795
_cell_length_b 4.2795
_cell_length_c 3.8795
_cell_angle_alpha 90.00
_cell_angle_beta 90.00
_cell_angle_gamma 120.00
loop_
_atom_site_label
_atom_site_fract_x
_atom_site_fract_y
_atom_site_fract_z
_atom_site_occupancy
Sm1 0.0000 0.0000 0.0000 1
Ga1 0.3333 0.6667 0.5000 1
Fe1 0.6667 0.3333 0.5000 1
# energy relative to the elements = -56.3 kJ/mol of formula units
# D(E_F) = 4.433 states/eV/f.u.

# PBE Sm2Ga8Fe, relaxed
data_Sm2Ga8Fe
_chemical_formula_sum 'Sm2 Ga8 Fe1'
_space_group_name_H-M_alt 'P 4/m m m'
_space_group_IT_number 123
_space_group_name_Hall '-P 4 2'
_cell_length_a 4.2723
_cell_length_b 4.2723
_cell_length_c 11.3461
_cell_angle_alpha 90.00
_cell_angle_beta 90.00
_cell_angle_gamma 90.00
loop_
_atom_site_label
_atom_site_fract_x
_atom_site_fract_y
_atom_site_fract_z
_atom_site_occupancy
Sm1 0.0000 0.0000 0.1961 1
Ga1 0.0000 0.5000 0.0000 1
Ga2 0.0000 0.5000 0.3870 1
Ga3 0.5000 0.5000 0.1946 1
Fe1 0.0000 0.0000 0.5000 1
# energy relative to the elements = -466.8 kJ/mol of formula units
# D(E_F) = 6.133 states/eV/f.u.

# PBE Sm2Ga2Fe15, relaxed
data_Sm2Ga2Fe15
_chemical_formula_sum 'Sm4 Ga4 Fe30'
_space_group_name_H-M_alt 'C 1 m 1'
_space_group_IT_number 8
_space_group_name_Hall 'C -2y'
_cell_length_a 9.6626
_cell_length_b 8.4863
_cell_length_c 6.4970
_cell_angle_alpha 90.00
_cell_angle_beta 98.92
_cell_angle_gamma 90.00
loop_
_atom_site_label
_atom_site_fract_x
_atom_site_fract_y
_atom_site_fract_z
_atom_site_occupancy
Sm1 0.0000 0.0000 0.0000 1
Sm2 0.1793 0.5000 0.3202 1
Ga1 0.4321 0.2491 0.3195 1
Fe1 0.0854 0.2519 0.6666 1
Fe2 0.1784 0.5000 0.8205 1
Fe3 0.1912 0.1430 0.3799 1
Fe4 0.2405 0.0000 0.7617 1
Fe5 0.2418 0.2492 0.0020 1
Fe6 0.3310 0.0000 0.1617 1
Fe7 0.3359 0.2940 0.6660 1
Fe8 0.4310 0.0000 0.5714 1
Fe9 0.4804 0.1435 0.9518 1
Fe10 0.4962 0.5000 0.5239 1
# energy relative to the elements = -153.1 kJ/mol of formula units
# D(E_F) = 18.273 states/eV/f.u.

# PBE Sm2Ga6Fe, relaxed
data_Sm2Ga6Fe
_chemical_formula_sum 'Sm8 Ga24 Fe4'
_space_group_name_H-M_alt 'F m -3 m'
_space_group_IT_number 225
_space_group_name_Hall '-F 4 2 3'
_cell_length_a 8.7813
_cell_length_b 8.7813
_cell_length_c 8.7813
_cell_angle_alpha 90.00
_cell_angle_beta 90.00
_cell_angle_gamma 90.00
loop_
_atom_site_label
_atom_site_fract_x
_atom_site_fract_y
_atom_site_fract_z
_atom_site_occupancy
Sm1 0.2500 0.2500 0.2500 1
Ga1 0.0000 0.0000 0.2216 1
Fe1 0.0000 0.0000 0.5000 1
# energy relative to the elements = -456.7 kJ/mol of formula units
# D(E_F) = 4.206 states/eV/f.u.

# PBE SmGa3Fe2, relaxed
data_SmGa3Fe2
_chemical_formula_sum 'Sm4 Ga12 Fe8'
_space_group_name_H-M_alt 'C m c m'
_space_group_IT_number 63
_space_group_name_Hall '-C 2c 2'
_cell_length_a 9.6884
_cell_length_b 8.0762
_cell_length_c 5.1423
_cell_angle_alpha 90.00
_cell_angle_beta 90.00
_cell_angle_gamma 90.00
loop_
_atom_site_label
_atom_site_fract_x
_atom_site_fract_y
_atom_site_fract_z
_atom_site_occupancy
Sm1 0.0000 0.1606 0.2500 1
Ga1 0.0000 0.4560 0.7500 1
Ga2 0.1883 0.2271 0.7500 1
Fe1 0.2177 0.5000 0.0000 1
# energy relative to the elements = -199.0 kJ/mol of formula units
# D(E_F) = 3.772 states/eV/f.u.

# PBE SmGa3Fe, relaxed
data_SmGa3Fe
_chemical_formula_sum 'Sm1 Ga3 Fe1'
_space_group_name_H-M_alt 'P m -3 m'
_space_group_IT_number 221
_space_group_name_Hall '-P 4 2 3'
_cell_length_a 4.5574
_cell_length_b 4.5574
_cell_length_c 4.5574
_cell_angle_alpha 90.00
_cell_angle_beta 90.00
_cell_angle_gamma 90.00
loop_
_atom_site_label
_atom_site_fract_x
_atom_site_fract_y
_atom_site_fract_z
_atom_site_occupancy
Sm1 0.0000 0.0000 0.0000 1
Ga1 0.0000 0.5000 0.5000 1
Fe1 0.5000 0.5000 0.5000 1
# energy relative to the elements = -176.1 kJ/mol of formula units
# D(E_F) = 1.692 states/eV/f.u.

# PBE Sm6GaFe2, relaxed
data_Sm6GaFe2
_chemical_formula_sum 'Sm24 Ga4 Fe8'
_space_group_name_H-M_alt 'I m m m'
_space_group_IT_number 71
_space_group_name_Hall '-I 2 2'
_cell_length_a 9.5753
_cell_length_b 9.7942
_cell_length_c 10.1004
_cell_angle_alpha 90.00
_cell_angle_beta 90.00
_cell_angle_gamma 90.00
loop_
_atom_site_label
_atom_site_fract_x
_atom_site_fract_y
_atom_site_fract_z
_atom_site_occupancy
Sm1 0.0000 0.2057 0.2282 1
Sm2 0.2041 0.5000 0.1849 1
Sm3 0.2157 0.3148 0.5000 1
Ga1 0.0000 0.0000 0.0000 1
Ga2 0.0000 0.0000 0.5000 1
Fe1 0.0000 0.3861 0.0000 1
Fe2 0.0000 0.5000 0.3927 1
# energy relative to the elements = -88.0 kJ/mol of formula units
# D(E_F) = 9.335 states/eV/f.u.

# PBE Sm2Ga5Fe12, relaxed
data_Sm2Ga5Fe12
_chemical_formula_sum 'Sm6 Ga15 Fe36'
_space_group_name_H-M_alt 'R -3 m'
_space_group_IT_number 166
_space_group_name_Hall '-R 3 2"'
_cell_length_a 8.6177
_cell_length_b 8.6177
_cell_length_c 12.6418
_cell_angle_alpha 90.00
_cell_angle_beta 90.00
_cell_angle_gamma 120.00
loop_
_atom_site_label
_atom_site_fract_x
_atom_site_fract_y
_atom_site_fract_z
_atom_site_occupancy
Sm1 0.0000 0.0000 0.1517 1
Ga1 0.0000 0.0000 0.4033 1
Ga2 0.0000 0.5000 0.0000 1
Fe1 0.0000 0.3124 0.5000 1
Fe2 0.0030 0.5015 0.6576 1
# energy relative to the elements = -147.3 kJ/mol of formula units
# D(E_F) = 14.611 states/eV/f.u.

| no. | uncorrected energy (eV/atom) | density (g cm⁻³) | magnetic moment (μB/cell) |
| --- | --- | --- | --- |
| 1 | -6.07 | 6.10 | 2.087 |
| 2 | -7.52 | 8.21 | 87.673 |
| 3 | -5.21 | 7.53 | 0.002 |
| 4 | -5.60 | 7.45 | 1.788 |
| 5 | -4.27 | 7.33 | 0.000 |
| 6 | -7.58 | 8.06 | 64.983 |
| 7 | -4.53 | 7.60 | 7.338 |
| 8 | -5.46 | 7.78 | 12.463 |
| 9 | -4.82 | 7.29 | 0.004 |
| 10 | -5.46 | 7.60 | 7.593 |
| 11 | -6.72 | 8.08 | 73.326 |